No. 1
Below is a geometry-optimized Ce5Cu19P12 structure, with properties calculated at the PBEsol level.

Calculated values
energy of formation from the pure elements: -0.5550 eV per atom
ρ: 7.4 g/cm³
SG: P-62m (189)
spin magnetization: 1.8 μB/cell
uncorrected energy: -204.80 eV for the cell shown

Cell: 3.831 12.454 12.454 Å, 120.00 90.00 90.00°
Sites, in units of the cell vectors:
P 0.000 0.639 0.000
P 0.000 0.176 0.000
P 0.500 0.172 0.486
P 0.500 0.687 0.514
P 0.500 0.514 0.687
P 0.500 0.313 0.828
P 0.000 0.000 0.639
P 0.500 0.828 0.313
P 0.000 0.824 0.824
P 0.000 0.361 0.361
P 0.500 0.486 0.172
P 0.000 0.000 0.176
Ce 0.000 0.333 0.667
Ce 0.500 0.814 0.000
Ce 0.000 0.667 0.333
Ce 0.500 0.000 0.814
Ce 0.500 0.186 0.186
Cu 0.500 0.640 0.117
Cu 0.000 0.206 0.826
Cu 0.000 0.174 0.380
Cu 0.000 0.454 0.000
Cu 0.500 0.711 0.711
Cu 0.000 0.000 0.454
Cu 0.500 0.883 0.522
Cu 0.500 0.478 0.360
Cu 0.500 0.289 0.000
Cu 0.500 0.360 0.478
Cu 0.500 0.000 0.289
Cu 0.000 0.826 0.206
Cu 0.000 0.380 0.174
Cu 0.000 0.794 0.620
Cu 0.000 0.000 0.000
Cu 0.000 0.620 0.794
Cu 0.500 0.117 0.640
Cu 0.000 0.546 0.546
Cu 0.500 0.522 0.883



No. 2
Below is a geometry-optimized Re2AuSe structure, with properties calculated at the PBEsol level.

Calculated values
ρ: 17.0 g/cm³
SG: F-43m (216)
spin magnetization: 0.0 μB/cell
uncorrected energy: -31.02 eV for the cell shown
formation energy (no corrections): 330 kJ/mol of formula units

Cell: 4.476 4.476 4.476 Å, 60.00 60.00 60.00°
Sites, in units of the cell vectors:
Au 0.500 0.500 0.500
Re 0.000 0.000 0.000
Re 0.750 0.750 0.750
Se 0.250 0.250 0.250



No. 3
Below is a geometry-optimized Li2TaPb structure, with properties calculated at the PBEsol level.

Calculated values
energy of formation from the pure elements: 0.2951 eV per atom
ρ: 9.0 g/cm³
SG: Pmmm (47)
spin magnetization: 0.0 μB/cell
uncorrected energy: -19.30 eV for the cell shown

Cell: 3.096 4.896 4.914 Å, 90.00 90.00 90.00°
Sites, in units of the cell vectors:
Li 0.000 0.000 0.000
Li 0.500 0.500 0.000
Ta 0.000 0.500 0.500
Pb 0.500 0.000 0.500



No. 4
Below is a geometry-optimized InCuOs2 structure, with properties calculated at the PBEsol level.

Calculated values
energy of formation from the pure elements: 0.5105 eV per atom
ρ: 15.8 g/cm³
SG: I-4m2 (119)
spin magnetization: 0.0 μB/cell
uncorrected energy: -29.71 eV for the cell shown

Cell: 4.047 4.595 4.047 Å, 63.87 90.00 116.13°
Sites, in units of the cell vectors:
Os 0.000 0.000 0.000
Os 0.250 0.500 0.250
In 0.750 0.500 0.750
Cu 0.500 0.000 0.500



No. 5
Below is a geometry-optimized LiOsN2F structure, with properties calculated at the PBEsol level.

Calculated values
ρ: 9.5 g/cm³
relative energy among the computed polymorphs: 7.08 eV/f.u.
SG: P4/mmm (123)
spin magnetization: 2.0 μB/cell
uncorrected energy: -27.45 eV for the cell shown
formation energy (no corrections): 552 kJ/mol of formula units

Cell: 3.019 3.759 3.759 Å, 90.00 90.00 90.00°
Sites, in units of the cell vectors:
Li 0.000 0.000 0.000
Os 0.500 0.500 0.500
F 0.500 0.000 0.000
N 0.000 0.000 0.500
N 0.000 0.500 0.000



No. 6
Below is a geometry-optimized As2Cl structure, with properties calculated at the PBEsol level.

Calculated values
ρ: 4.8 g/cm³
relative energy among the computed polymorphs: 1.13 eV/f.u.
SG: I4_1/amd (141)
spin magnetization: 0.0 μB/cell
uncorrected energy: -23.47 eV for the cell shown
formation energy (no corrections): 47 kJ/mol of formula units

Cell: 3.401 3.401 11.430 Å, 98.55 98.55 90.00°
Sites, in units of the cell vectors:
As 0.913 0.913 0.825
As 0.163 0.663 0.325
As 0.087 0.087 0.175
As 0.337 0.837 0.675
Cl 0.750 0.250 0.500
Cl 0.500 0.500 0.000



No. 7
Below is a geometry-optimized DyGa2Co3 structure, with properties calculated at the PBEsol level.

Calculated values
energy of formation from the pure elements: -0.4016 eV per atom
ρ: 9.4 g/cm³
SG: P6/mmm (191)
spin magnetization: 0.8 μB/cell
uncorrected energy: -37.28 eV for the cell shown

Cell: 3.726 5.122 5.122 Å, 120.00 90.00 90.00°
Sites, in units of the cell vectors:
Co 0.500 0.000 0.500
Co 0.500 0.500 0.500
Co 0.500 0.500 0.000
Ga 0.000 0.667 0.333
Ga 0.000 0.333 0.667
Dy 0.000 0.000 0.000



No. 8
Below is a geometry-optimized LiZn2Ag structure, with properties calculated at the PBEsol level.

Calculated values
energy of formation from the pure elements: -0.1346 eV per atom
ρ: 7.1 g/cm³
SG: P4/mmm (123)
spin magnetization: 0.0 μB/cell
uncorrected energy: -8.98 eV for the cell shown

Cell: 3.137 3.137 5.847 Å, 90.00 90.00 90.00°
Sites, in units of the cell vectors:
Li 0.500 0.500 0.500
Ag 0.500 0.500 0.000
Zn 0.000 0.000 0.736
Zn 0.000 0.000 0.264



No. 9
Below is a geometry-optimized Ca4NiAg structure, with properties calculated at the PBEsol level.

Calculated values
energy of formation from the pure elements: 0.7754 eV per atom
ρ: 3.2 g/cm³
SG: F-43m (216)
spin magnetization: 0.0 μB/cell
uncorrected energy: -13.35 eV for the cell shown

Cell: 6.201 6.201 6.201 Å, 60.00 60.00 60.00°
Sites, in units of the cell vectors:
Ca 0.375 0.375 0.375
Ca 0.375 0.874 0.375
Ca 0.874 0.375 0.375
Ca 0.375 0.375 0.874
Ni 0.750 0.750 0.750
Ag 0.000 0.000 0.000



No. 10
Below is a geometry-optimized Zr2HgBiMo structure, with properties calculated at the PBEsol level.

Calculated values
energy of formation from the pure elements: 0.6131 eV per atom
ρ: 8.9 g/cm³
SG: P4/mmm (123)
spin magnetization: 0.0 μB/cell
uncorrected energy: -31.73 eV for the cell shown

Cell: 4.942 4.942 5.233 Å, 90.00 90.00 90.00°
Sites, in units of the cell vectors:
Bi 0.500 0.500 0.500
Zr 0.000 0.500 0.000
Zr 0.500 0.000 0.000
Mo 0.000 0.000 0.000
Hg 0.000 0.000 0.500



No. 11
Below is a geometry-optimized TaAl2Rh structure, with properties calculated at the PBEsol level.

Calculated values
energy of formation from the pure elements: -0.3434 eV per atom
ρ: 9.2 g/cm³
SG: Cmmm (65)
spin magnetization: 0.0 μB/cell
uncorrected energy: -30.25 eV for the cell shown

Cell: 2.799 4.846 4.846 Å, 112.02 90.00 90.00°
Sites, in units of the cell vectors:
Al 0.000 0.000 0.500
Al 0.000 0.500 0.000
Rh 0.500 0.000 0.000
Ta 0.500 0.500 0.500



No. 12
Below is a geometry-optimized MgZr2Zn structure, with properties calculated at the PBEsol level.

Calculated values
energy of formation from the pure elements: -0.0621 eV per atom
ρ: 5.8 g/cm³
relative energy among the computed polymorphs: 0.18 eV/f.u.
SG: Imm2 (44)
spin magnetization: 0.0 μB/cell
uncorrected energy: -21.73 eV for the cell shown

Cell: 3.139 5.082 5.754 Å, 116.21 105.83 90.00°
Sites, in units of the cell vectors:
Zn 0.244 0.744 0.487
Zr 0.747 0.247 0.495
Zr 0.984 0.984 0.968
Mg 0.525 0.525 0.050